# Fe2Mo

Crystalline Fe2Mo at its relaxed geometry (PBEsol, Alexandria).

Unit cell a=4.1193 b=4.1193 c=2.5165 alpha=90.00 beta=90.00 gamma=120.00
Space group P-3m1 (No. 164)
Symmetry-distinct sites (fractional):
Fe 0.3333 0.6667 0.3526 [2 per cell]
Mo 0.0000 0.0000 0.0000 [1 per cell]

Results
E in eV per atom: -9.8227
N(E_F) in states/eV/cell: 2.58
Spin magnetization in μB per formula unit: 4.018